First-principles (GGA+U) data for a relaxed CdFe2Cl2O2 crystal, as listed in Alexandria via LeMat-Bulk.

Summary:
DFT total energy (Ha/atom): -0.1774

abc: 3.528 6.876 7.825
angles: 49.49 76.98 59.23
Last column: magnetic moment on the atom in μB.
Element x y z (fractional)
Fe: 0.933 0.346 0.441  3.75
Cd: 0.000 0.000 0.000  0.02
O: 0.731 0.428 0.683  0.08
Cl: 0.269 0.103 0.254  0.04
Fe: 0.067 0.654 0.559  3.75
O: 0.269 0.572 0.317  0.08
Cl: 0.731 0.897 0.746  0.04